Entry 1:
Entry from the Alexandria database: a relaxed structure of Er12Co6Cu (PBE-GGA).

Cell lengths 8.2208, 8.2208, 8.2208 Å; angles 109.47, 109.47, 109.47 degrees
Closest atoms and distances in Å follow each position.
Positions (direct):
Er 0.3003 0.1064 0.8061  3 Co 2.62-2.86
Er 0.3003 0.4942 0.1939  3 Co 2.62-2.86
Er 0.6997 0.5058 0.8061  3 Co 2.62-2.86
Er 0.6997 0.8936 0.1939  3 Co 2.62-2.86
Er 0.1064 0.8061 0.3003  3 Co 2.62-2.86
Er 0.4942 0.1939 0.3003  3 Co 2.62-2.86
Er 0.5058 0.8061 0.6997  3 Co 2.62-2.86
Er 0.8936 0.1939 0.6997  3 Co 2.62-2.86
Er 0.8061 0.3003 0.1064  3 Co 2.62-2.86
Er 0.1939 0.3003 0.4942  3 Co 2.62-2.86
Er 0.8061 0.6997 0.5058  3 Co 2.62-2.86
Er 0.1939 0.6997 0.8936  3 Co 2.62-2.86
Co 0.3852 0.5000 0.8852  1 Co 2.18
Co 0.6148 0.5000 0.1148  1 Co 2.18
Co 0.5000 0.8852 0.3852  1 Co 2.18
Co 0.5000 0.1148 0.6148  1 Co 2.18
Co 0.8852 0.3852 0.5000  1 Co 2.18
Co 0.1148 0.6148 0.5000  1 Co 2.18
Cu 0.0000 0.0000 0.0000  12 Er 3.39

Computed properties:
Its energy above the most stable polymorph in this dataset is 0 meV/atom. As for the space group: Im-3. The density of states at the Fermi level is 13.871 states/eV/cell. Its energy relative to the elements is -4.62 kcal/mol of atoms. The total energy is -5.54 eV per atom.

***

Entry 2:
Entry from the Alexandria database: a relaxed structure of FeSe (PBE-GGA).

Cell lengths 7.0955, 7.0955, 3.2295 Å; angles 90.00, 90.00, 153.72 degrees
Closest atoms and distances in Å follow each position.
Positions (direct):
Fe 0.7943 0.2057 0.7500  5 Se 2.34-2.54, 4 Fe 2.59
Fe 0.2057 0.7943 0.2500  5 Se 2.34-2.54, 4 Fe 2.59
Se 0.6251 0.3749 0.7500  5 Fe 2.34-2.54
Se 0.3749 0.6251 0.2500  5 Fe 2.34-2.54

Computed properties:
The raw formation energy is -0.095 eV/atom. As for the space group: Cmcm. The density of states at the Fermi level is 2.405 states/eV/cell. The total energy is -6.07 eV per atom.

***

Entry 3:
Entry from the Alexandria database: a relaxed structure of NdYCo (PBE-GGA).

Cell lengths 3.8388, 5.8019, 7.1530 Å; angles 94.00, 90.00, 90.00 degrees
Closest atoms and distances in Å follow each position.
Positions (direct):
Nd 0.7500 0.8276 0.6760  3 Co 2.79-3.03
Nd 0.2500 0.1724 0.3240  3 Co 2.79-3.03
Y 0.7500 0.6504 0.1650  4 Co 2.79-3.11
Y 0.2500 0.3496 0.8350  4 Co 2.79-3.11
Co 0.7500 0.1259 0.0412  2 Co 2.46
Co 0.2500 0.8741 0.9588  2 Co 2.46

Computed properties:
Its energy above the most stable polymorph in this dataset is 0 meV/atom. As for the space group: P2_1/m. The density of states at the Fermi level is 7.803 states/eV/cell. Its energy relative to the elements is -1.90 kcal/mol of atoms. The total energy is -6.20 eV per atom.

***

Entry 4:
Entry from the Alexandria database: a relaxed structure of Y4TcAg (PBE-GGA).

Cell lengths 6.0304, 6.0304, 6.0304 Å; angles 60.00, 60.00, 60.00 degrees
Closest atoms and distances in Å follow each position.
Positions (direct):
Y 0.8784 0.3739 0.3739  6 Y 2.99-3.04
Y 0.3739 0.3739 0.8784  6 Y 2.99-3.04
Y 0.3739 0.8784 0.3739  6 Y 2.99-3.04
Y 0.3739 0.3739 0.3739  6 Y 2.99-3.04
Tc 0.0000 0.0000 0.0000  12 Y 3.53, 4 Ag 3.69
Ag 0.7500 0.7500 0.7500  12 Y 3.54, 4 Tc 3.69

Computed properties:
Its energy above the most stable polymorph in this dataset is 1005 meV/atom. As for the space group: F-43m. The density of states at the Fermi level is 6.945 states/eV/cell. Its energy relative to the elements is 19.39 kcal/mol of atoms. The total energy is -5.67 eV per atom.

***

Entry 5:
Entry from the Alexandria database: a relaxed structure of BaIn2Ru (PBE-GGA).

Cell lengths 7.9127, 7.9127, 7.9127 Å; angles 155.70, 147.21, 41.23 degrees
Closest atoms and distances in Å follow each position.
Positions (direct):
Ba 0.3173 0.8173 0.5000  2 Ba 3.33, 2 Ru 3.35, 6 In 3.61-3.62
In 0.0086 0.0086 0.0000  4 Ru 2.79
In 0.6608 0.1608 0.5000  2 Ru 2.75
Ru 0.5133 0.5133 0.0000  6 In 2.75-2.79

Computed properties:
As for the space group: Imm2. The density of states at the Fermi level is 2.815 states/eV/cell. Its energy relative to the elements is -0.29 kcal/mol of atoms. The total energy is -4.18 eV per atom.

***

Entry 6:
Entry from the Alexandria database: a relaxed structure of Pm6DyHo2Tm3 (PBE-GGA).

Cell lengths 6.2149, 6.2149, 11.7494 Å; angles 95.04, 95.04, 119.99 degrees
Closest atoms and distances in Å follow each position.
Positions (direct):
Pm 0.9159 0.5825 0.7488  3 Tm 3.54-3.55, 2 Ho 3.57, 1 Dy 3.57, 6 Pm 3.59
Pm 0.7507 0.7507 0.2513  3 Tm 3.54-3.55, 1 Dy 3.57, 2 Ho 3.57, 6 Pm 3.59
Pm 0.0841 0.4175 0.2512  3 Tm 3.54-3.55, 2 Ho 3.57, 1 Dy 3.57, 6 Pm 3.59
Pm 0.5825 0.9159 0.7488  3 Tm 3.54-3.55, 2 Ho 3.57, 1 Dy 3.57, 6 Pm 3.59
Pm 0.2493 0.2493 0.7487  3 Tm 3.54-3.55, 1 Dy 3.57, 2 Ho 3.57, 6 Pm 3.59
Pm 0.4175 0.0841 0.2512  3 Tm 3.54-3.55, 2 Ho 3.57, 1 Dy 3.57, 6 Pm 3.59
Dy 0.0000 0.0000 0.0000  6 Pm 3.57, 6 Ho 3.59
Ho 0.3334 0.6666 0.0000  6 Pm 3.57, 3 Ho 3.59, 3 Dy 3.59
Ho 0.6666 0.3334 0.0000  6 Pm 3.57, 3 Ho 3.59, 3 Dy 3.59
Tm 0.1667 0.8333 0.5000  6 Pm 3.54-3.55, 6 Tm 3.59
Tm 0.8333 0.1667 0.5000  6 Pm 3.54-3.55, 6 Tm 3.59
Tm 0.5000 0.5000 0.5000  6 Pm 3.54-3.55, 6 Tm 3.59

Computed properties:
As for the space group: C2/m. The density of states at the Fermi level is 13.185 states/eV/cell. Its energy relative to the elements is 0.33 kcal/mol of atoms. The total energy is -4.63 eV per atom.

***

Entry 7:
Entry from the Alexandria database: a relaxed structure of Ca2MoP (PBE-GGA).

Cell lengths 6.0582, 6.0582, 5.1452 Å; angles 64.73, 64.73, 33.33 degrees
Closest atoms and distances in Å follow each position.
Positions (direct):
Ca 0.9503 0.9503 0.0488  2 P 2.94, 2 Ca 3.27
Ca 0.7562 0.7562 0.7441  4 P 3.12-3.13, 2 Mo 3.20-3.22, 4 Ca 3.27-3.47
Mo 0.5718 0.5718 0.4274  2 P 2.33
P 0.2216 0.2216 0.2798  2 Mo 2.33

Computed properties:
As for the space group: Cm. The density of states at the Fermi level is 4.810 states/eV/cell. Its energy relative to the elements is -2.53 kcal/mol of atoms. The total energy is -5.17 eV per atom.

***

Entry 8:
Entry from the Alexandria database: a relaxed structure of NdMg3Pb3 (PBE-GGA).

Cell lengths 7.4832, 7.4832, 7.0278 Å; angles 90.02, 90.02, 94.49 degrees
Closest atoms and distances in Å follow each position.
Positions (direct):
Nd 0.2993 0.2993 0.0001  6 Pb 3.36-3.48, 4 Mg 3.46-3.57
Nd 0.7007 0.7007 0.9999  6 Pb 3.36-3.48, 4 Mg 3.46-3.57
Mg 0.2396 0.2396 0.5000  6 Pb 3.04-3.20, 2 Mg 3.06
Mg 0.3595 0.6405 0.5000  3 Mg 3.06-3.09, 4 Pb 3.25-3.26
Mg 0.6405 0.3595 0.5000  3 Mg 3.06-3.09, 4 Pb 3.25-3.26
Mg 0.2454 0.7546 0.0000  6 Pb 3.16-3.19, 2 Nd 3.46
Mg 0.7546 0.2454 0.0000  6 Pb 3.16-3.19, 2 Nd 3.46
Mg 0.7604 0.7604 0.5000  6 Pb 3.04-3.20, 2 Mg 3.06
Pb 0.0000 0.0000 0.7583  4 Mg 3.04-3.19, 1 Pb 3.40
Pb 0.5001 0.0000 0.2665  6 Mg 3.16-3.26, 1 Pb 3.28, 2 Nd 3.36
Pb 0.0000 0.5001 0.2665  6 Mg 3.16-3.26, 1 Pb 3.28, 2 Nd 3.36
Pb 0.4999 0.0000 0.7335  6 Mg 3.16-3.26, 1 Pb 3.28, 2 Nd 3.36
Pb 0.0000 0.4999 0.7335  6 Mg 3.16-3.26, 1 Pb 3.28, 2 Nd 3.36
Pb 0.0000 0.0000 0.2417  4 Mg 3.04-3.19, 1 Pb 3.40

Computed properties:
Its energy above the most stable polymorph in this dataset is 0 meV/atom. As for the space group: Cmmm. The density of states at the Fermi level is 7.859 states/eV/cell. Its energy relative to the elements is -2.76 kcal/mol of atoms. The total energy is -3.07 eV per atom.

***

Entry 9:
Entry from the Alexandria database: a relaxed structure of Nd4YEr4 (PBE-GGA).

Cell lengths 5.6549, 9.0292, 8.9515 Å; angles 44.02, 71.39, 71.48 degrees
Closest atoms and distances in Å follow each position.
Positions (direct):
Nd 0.2799 0.1571 0.2843  2 Er 3.38-3.62, 1 Y 3.48, 3 Nd 3.49-3.52
Nd 0.7201 0.8429 0.7157  2 Er 3.38-3.62, 1 Y 3.48, 3 Nd 3.49-3.52
Nd 0.8685 0.3090 0.9579  5 Er 3.30-3.63, 3 Nd 3.49-3.52
Nd 0.1315 0.6910 0.0421  5 Er 3.30-3.63, 3 Nd 3.49-3.52
Y 0.5000 0.0000 0.0000  6 Nd 3.48-3.74, 6 Er 3.63-3.66
Er 0.6194 0.4238 0.3337  2 Er 3.35, 3 Nd 3.40-3.62, 1 Y 3.63
Er 0.9310 0.7665 0.3746  4 Nd 3.30-3.63, 3 Er 3.35-3.46, 2 Y 3.65-3.66
Er 0.3806 0.5762 0.6663  2 Er 3.35, 3 Nd 3.40-3.62, 1 Y 3.63
Er 0.0690 0.2335 0.6254  4 Nd 3.30-3.63, 3 Er 3.35-3.46, 2 Y 3.65-3.66

Computed properties:
Its energy above the most stable polymorph in this dataset is 84 meV/atom. As for the space group: P-1. The density of states at the Fermi level is 15.126 states/eV/cell. Its energy relative to the elements is 2.40 kcal/mol of atoms. The total energy is -4.76 eV per atom.

***

Entry 10:
Entry from the Alexandria database: a relaxed structure of GeBiI2O (PBE-GGA).

Cell lengths 6.0571, 6.0571, 3.7677 Å; angles 90.00, 90.00, 90.00 degrees
Closest atoms and distances in Å follow each position.
Positions (direct):
I 0.0000 0.5000 0.0000  2 Ge 3.03
I 0.5000 0.0000 0.0000  2 Ge 3.03
Ge 0.0000 0.0000 0.0000  2 O 1.88
Bi 0.5000 0.5000 0.5000  8 I 3.57, 2 Bi 3.77
O 0.0000 0.0000 0.5000  2 Ge 1.88

Computed properties:
Its energy above the most stable polymorph in this dataset is 0 meV/atom. The raw formation energy is -0.172 eV/atom. As for the space group: P4/mmm. The density of states at the Fermi level is 3.411 states/eV/cell. The total energy is -3.48 eV per atom.

***

Entry 11:
Entry from the Alexandria database: a relaxed structure of SnTe2H2Pd7 (PBE-GGA).

Cell lengths 4.0744, 4.0744, 11.5271 Å; angles 79.83, 79.83, 90.21 degrees
Closest atoms and distances in Å follow each position.
Positions (direct):
Sn 0.0000 0.0000 0.0000  12 Pd 2.86-2.89
Te 0.8045 0.8045 0.3885  5 Pd 2.74-2.90
Te 0.1955 0.1955 0.6115  5 Pd 2.74-2.90
H 0.5889 0.5889 0.8213  6 Pd 1.99-2.09
H 0.4111 0.4111 0.1787  6 Pd 1.99-2.09
Pd 0.5000 0.5000 0.0000  2 H 1.99
Pd 0.3141 0.3141 0.3661  1 H 2.09
Pd 0.6859 0.6859 0.6339  1 H 2.09
Pd 0.9089 0.4089 0.1804  2 H 2.03-2.04
Pd 0.4089 0.9089 0.1804  2 H 2.03-2.04
Pd 0.5911 0.0911 0.8196  2 H 2.03-2.04
Pd 0.0911 0.5911 0.8196  2 H 2.03-2.04

Computed properties:
As for the space group: C2/m. The density of states at the Fermi level is 5.609 states/eV/cell. The total energy is -4.74 eV per atom.

***

Entry 12:
Entry from the Alexandria database: a relaxed structure of Ag3Se2 (PBE-GGA).

Cell lengths 7.7929, 7.7929, 7.7929 Å; angles 30.24, 30.24, 30.24 degrees
Closest atoms and distances in Å follow each position.
Positions (direct):
Ag 0.0000 0.0000 0.0000  6 Se 2.84
Ag 0.7964 0.7964 0.7964  3 Se 2.68, 3 Ag 2.87
Ag 0.2036 0.2036 0.2036  3 Se 2.68, 3 Ag 2.87
Se 0.4050 0.4050 0.4050  6 Ag 2.68-2.84
Se 0.5950 0.5950 0.5950  6 Ag 2.68-2.84

Computed properties:
Its energy above the most stable polymorph in this dataset is 49 meV/atom. The raw formation energy is 0.038 eV/atom. As for the space group: R-3m. The density of states at the Fermi level is 3.641 states/eV/cell. The total energy is -3.07 eV per atom.